{
  "formula": "AsP2Pb",
  "functional": "GGA-PBE",
  "state": "relaxed",
  "cell": [[0.0000, 3.4347, 3.4347], [3.4347, 0.0000, 3.4347], [3.4347, 3.4347, 0.0000]],
  "species": ["As", "P", "P", "Pb"],
  "frac_coords": [[0.0000, 0.0000, 0.0000], [0.2500, 0.2500, 0.2500], [0.5000, 0.5000, 0.5000], [0.7500, 0.7500, 0.7500]],
  "magnetic_moment_mub_per_cell": 0.000,
  "formation_enthalpy_0k_ev_per_atom": 0.71,
  "dos_at_fermi_per_ev_atom": 1.11,
  "de_polymorph_kj_per_mol_fu": 196.0
}